VASP calculation (GGA+U) on a relaxed structure of Cs2CdMoO4.

Geometry as extended XYZ:
```
16
Lattice="7.1412 0.0000 0.0000 3.5706 6.3744 0.0000 3.5706 0.0000 11.1672" Properties=species:S:1:pos:R:3 pbc="T T T"
Mo 5.3559 3.1872 5.5836
Mo 3.5706 0.0000 0.0000
Cs 8.9264 3.1872 9.8277
Cs 7.1412 0.0000 4.2441
Cs 8.9265 3.1872 1.3395
Cs 3.5706 0.0000 6.9232
O 4.3008 2.1071 4.5928
O 6.4109 2.1071 6.5744
O 6.4109 4.2674 4.5928
O 6.0861 1.0801 10.1764
O 4.6256 1.0801 0.9908
O 11.7668 5.2943 10.1764
O 11.4420 4.2674 6.5744
O 6.0861 5.2943 0.9908
Cd 8.9265 3.1872 5.5836
Cd 0.0000 0.0000 0.0000
```

Summary:
DOS at the Fermi energy   0.0 states/eV/cell
Calculated total energy   -5.073 eV per atom
Total magnetization   0.0 μB per cell